w | DFT (PBE) results for DyHo2Hg4 after structural relaxation.

Output
**DOS at the Fermi energy**: 6.557 states/eV/cell
**Calculated volume**: 34.3 A^3/atom
**Space group**: I4/mmm (139)

a b c (Å): 8.609 8.609 8.609
angles (deg): 142.00 142.00 54.83
Atoms (fractional coordinates):
Dy (0.000, 0.000, 0.000)
Ho (0.398, 0.398, 0.000)
Ho (0.602, 0.602, 0.000)
Hg (0.000, 0.500, 0.500)
Hg (0.200, 0.200, 0.000)
Hg (0.500, 0.000, 0.500)
Hg (0.800, 0.800, 0.000)

---

x | DFT (PBE) results for DyHo2Hg4 after structural relaxation.

Output
**DOS at the Fermi energy**: 5.665 states/eV/cell
**Calculated volume**: 27.6 A^3/atom
**Space group**: R-3m (166)

a b c (Å): 9.124 9.124 9.124
angles (deg): 32.32 32.32 32.32
Atoms (fractional coordinates):
Dy (0.000, 0.000, 0.000)
Ho (0.245, 0.245, 0.245)
Ho (0.755, 0.755, 0.755)
Hg (0.127, 0.127, 0.127)
Hg (0.376, 0.376, 0.376)
Hg (0.624, 0.624, 0.624)
Hg (0.873, 0.873, 0.873)

---

x has the most favorable energy; the next structure is 384 meV per atom above.

---

w | DFT (PBE) results for Dy2HoHg after structural relaxation.

Output
**DOS at the Fermi energy**: 5.271 states/eV/cell
**Calculated volume**: 27.6 A^3/atom
**Space group**: P4/mmm (123)

a b c (Å): 4.792 4.792 4.801
angles (deg): 90.00 90.00 90.00
Atoms (fractional coordinates):
Dy (0.000, 0.500, 0.000)
Dy (0.500, 0.000, 0.000)
Ho (0.000, 0.000, 0.500)
Hg (0.500, 0.500, 0.500)

---

x | DFT (PBE) results for Dy2HoHg after structural relaxation.

Output
**DOS at the Fermi energy**: 17.393 states/eV/cell
**Calculated volume**: 29.3 A^3/atom
**Space group**: Pnma (62)

a b c (Å): 6.921 10.078 6.719
angles (deg): 90.00 90.00 90.00
Atoms (fractional coordinates):
Dy (0.198, 0.042, 0.191)
Dy (0.198, 0.458, 0.191)
Dy (0.302, 0.542, 0.691)
Dy (0.302, 0.958, 0.691)
Dy (0.698, 0.042, 0.309)
Dy (0.698, 0.458, 0.309)
Dy (0.802, 0.542, 0.809)
Dy (0.802, 0.958, 0.809)
Ho (0.005, 0.750, 0.392)
Ho (0.495, 0.250, 0.892)
Ho (0.505, 0.750, 0.108)
Ho (0.995, 0.250, 0.608)
Hg (0.086, 0.750, 0.953)
Hg (0.414, 0.250, 0.453)
Hg (0.586, 0.750, 0.547)
Hg (0.914, 0.250, 0.047)

---

y | DFT (PBE) results for Dy2HoHg after structural relaxation.

Output
**DOS at the Fermi energy**: 9.688 states/eV/cell
**Calculated volume**: 29.6 A^3/atom
**Space group**: Cmcm (63)

a b c (Å): 6.418 6.418 8.577
angles (deg): 90.00 90.00 137.96
Atoms (fractional coordinates):
Dy (0.138, 0.862, 0.548)
Dy (0.138, 0.862, 0.952)
Dy (0.862, 0.138, 0.048)
Dy (0.862, 0.138, 0.452)
Ho (0.447, 0.553, 0.750)
Ho (0.553, 0.447, 0.250)
Hg (0.267, 0.733, 0.250)
Hg (0.733, 0.267, 0.750)

---

x has the most favorable energy; the next structure is 50 meV per atom above.

---

w | DFT (PBE) results for DyHo2Hg after structural relaxation.

Output
**DOS at the Fermi energy**: 5.277 states/eV/cell
**Calculated volume**: 27.5 A^3/atom
**Space group**: P4/mmm (123)

a b c (Å): 4.793 4.793 4.781
angles (deg): 90.00 90.00 90.00
Atoms (fractional coordinates):
Dy (0.000, 0.000, 0.000)
Ho (0.000, 0.500, 0.500)
Ho (0.500, 0.000, 0.500)
Hg (0.500, 0.500, 0.000)

---

x | DFT (PBE) results for DyHo2Hg after structural relaxation.

Output
**DOS at the Fermi energy**: 4.493 states/eV/cell
**Calculated volume**: 28.5 A^3/atom
**Space group**: P4/mmm (123)

a b c (Å): 3.582 3.582 8.888
angles (deg): 90.00 90.00 90.00
Atoms (fractional coordinates):
Dy (0.000, 0.000, 0.000)
Ho (0.500, 0.500, 0.277)
Ho (0.500, 0.500, 0.723)
Hg (0.000, 0.000, 0.500)

---

y | DFT (PBE) results for DyHo2Hg after structural relaxation.

Output
**DOS at the Fermi energy**: 3.575 states/eV/cell
**Calculated volume**: 28.5 A^3/atom
**Space group**: Immm (71)

a b c (Å): 6.548 6.548 6.548
angles (deg): 146.52 132.06 59.74
Atoms (fractional coordinates):
Dy (0.000, 0.000, 0.000)
Ho (0.280, 0.780, 0.500)
Ho (0.720, 0.220, 0.500)
Hg (0.500, 0.500, 0.000)

---

y has the most favorable energy; the next structure is 6 meV per atom above.

---

w | DFT (PBE) results for DyHoHgOs after structural relaxation.

Output
**DOS at the Fermi energy**: 2.979 states/eV/cell
**Calculated volume**: 22.7 A^3/atom
**Space group**: P4mm (99)

a b c (Å): 3.446 3.446 7.633
angles (deg): 90.00 90.00 90.00
Atoms (fractional coordinates):
Dy (0.000, 0.000, 0.000)
Ho (0.000, 0.000, 0.565)
Hg (0.500, 0.500, 0.285)
Os (0.500, 0.500, 0.781)

---

x | DFT (PBE) results for DyHoHgOs after structural relaxation.

Output
**DOS at the Fermi energy**: 3.438 states/eV/cell
**Calculated volume**: 22.1 A^3/atom
**Space group**: F-43m (216)

a b c (Å): 5.003 5.003 5.003
angles (deg): 60.00 60.00 60.00
Atoms (fractional coordinates):
Dy (0.000, 0.000, 0.000)
Ho (0.500, 0.500, 0.500)
Hg (0.750, 0.750, 0.750)
Os (0.250, 0.250, 0.250)

---

w has the most favorable energy; the next structure is 121 meV per atom above.

---

w | DFT (PBE) results for DyHoHgPb after structural relaxation.

Output
**DOS at the Fermi energy**: 4.937 states/eV/cell
**Calculated volume**: 26.8 A^3/atom
**Space group**: F-43m (216)

a b c (Å): 5.331 5.331 5.331
angles (deg): 60.00 60.00 60.00
Atoms (fractional coordinates):
Dy (0.000, 0.000, 0.000)
Ho (0.500, 0.500, 0.500)
Hg (0.750, 0.750, 0.750)
Pb (0.250, 0.250, 0.250)

---

x | DFT (PBE) results for DyHoHgPb after structural relaxation.

Output
**DOS at the Fermi energy**: 3.493 states/eV/cell
**Calculated volume**: 26.8 A^3/atom
**Space group**: Pmmm (47)

a b c (Å): 3.940 5.219 5.220
angles (deg): 90.00 90.00 90.00
Atoms (fractional coordinates):
Dy (0.000, 0.000, 0.000)
Ho (0.000, 0.500, 0.500)
Hg (0.500, 0.000, 0.500)
Pb (0.500, 0.500, 0.000)

---

x has the most favorable energy; the next structure is 9 meV per atom above.

---

w | DFT (PBE) results for DyHoZnHg after structural relaxation.

Output
**DOS at the Fermi energy**: 4.050 states/eV/cell
**Calculated volume**: 24.3 A^3/atom
**Space group**: F-43m (216)

a b c (Å): 5.158 5.158 5.158
angles (deg): 60.00 60.00 60.00
Atoms (fractional coordinates):
Dy (0.000, 0.000, 0.000)
Ho (0.500, 0.500, 0.500)
Zn (0.250, 0.250, 0.250)
Hg (0.750, 0.750, 0.750)

---

x | DFT (PBE) results for DyHoZnHg after structural relaxation.

Output
**DOS at the Fermi energy**: 3.696 states/eV/cell
**Calculated volume**: 24.0 A^3/atom
**Space group**: P4mm (99)

a b c (Å): 3.602 3.602 7.397
angles (deg): 90.00 90.00 90.00
Atoms (fractional coordinates):
Dy (0.000, 0.000, 0.000)
Ho (0.000, 0.000, 0.533)
Zn (0.500, 0.500, 0.764)
Hg (0.500, 0.500, 0.269)

---

x has the most favorable energy; the next structure is 18 meV per atom above.

---

w | DFT (PBE) results for DyInHg4 after structural relaxation.

Output
**DOS at the Fermi energy**: 4.143 states/eV/cell
**Calculated volume**: 25.8 A^3/atom
**Space group**: F-43m (216)

a b c (Å): 6.023 6.023 6.023
angles (deg): 60.00 60.00 60.00
Atoms (fractional coordinates):
Dy (0.000, 0.000, 0.000)
In (0.750, 0.750, 0.750)
Hg (0.375, 0.375, 0.375)
Hg (0.375, 0.375, 0.876)
Hg (0.375, 0.876, 0.375)
Hg (0.876, 0.375, 0.375)

---

x | DFT (PBE) results for DyInHg4 after structural relaxation.

Output
**DOS at the Fermi energy**: 3.262 states/eV/cell
**Calculated volume**: 25.4 A^3/atom
**Space group**: C2/m (12)

a b c (Å): 3.954 3.954 9.807
angles (deg): 94.26 94.26 88.06
Atoms (fractional coordinates):
Dy (0.000, 0.000, 0.000)
In (0.500, 0.500, 0.500)
Hg (0.009, 0.009, 0.331)
Hg (0.489, 0.489, 0.833)
Hg (0.511, 0.511, 0.167)
Hg (0.991, 0.991, 0.669)

---

x has the most favorable energy; the next structure is 131 meV per atom above.

---

w | DFT (PBE) results for Dy8In2Hg after structural relaxation.

Output
**DOS at the Fermi energy**: 12.188 states/eV/cell
**Calculated volume**: 29.5 A^3/atom
**Space group**: C2/m (12)

a b c (Å): 9.557 9.557 6.945
angles (deg): 101.62 101.62 31.52
Atoms (fractional coordinates):
Dy (0.020, 0.020, 0.257)
Dy (0.200, 0.200, 0.791)
Dy (0.342, 0.342, 0.540)
Dy (0.407, 0.407, 0.040)
Dy (0.593, 0.593, 0.960)
Dy (0.658, 0.658, 0.460)
Dy (0.800, 0.800, 0.209)
Dy (0.980, 0.980, 0.743)
In (0.191, 0.191, 0.234)
In (0.809, 0.809, 0.766)
Hg (0.500, 0.500, 0.500)

---

x | DFT (PBE) results for Dy8In2Hg after structural relaxation.

Output
**DOS at the Fermi energy**: 13.941 states/eV/cell
**Calculated volume**: 28.9 A^3/atom
**Space group**: Immm (71)

a b c (Å): 8.826 8.826 8.826
angles (deg): 146.31 122.33 68.48
Atoms (fractional coordinates):
Dy (0.124, 0.343, 0.781)
Dy (0.138, 0.138, 0.000)
Dy (0.312, 0.000, 0.312)
Dy (0.439, 0.657, 0.781)
Dy (0.561, 0.343, 0.219)
Dy (0.688, 0.000, 0.688)
Dy (0.862, 0.862, 0.000)
Dy (0.876, 0.657, 0.219)
In (0.304, 0.804, 0.500)
In (0.696, 0.196, 0.500)
Hg (0.000, 0.500, 0.500)

---

w has the most favorable energy; the next structure is 40 meV per atom above.

---

w | DFT (PBE) results for DyInHg6 after structural relaxation.

Output
**DOS at the Fermi energy**: 2.800 states/eV/cell
**Calculated volume**: 24.9 A^3/atom
**Space group**: P4/mmm (123)

a b c (Å): 4.801 4.801 8.632
angles (deg): 90.00 90.00 90.00
Atoms (fractional coordinates):
Dy (0.000, 0.000, 0.000)
In (0.000, 0.000, 0.500)
Hg (0.000, 0.500, 0.249)
Hg (0.000, 0.500, 0.751)
Hg (0.500, 0.000, 0.249)
Hg (0.500, 0.000, 0.751)
Hg (0.500, 0.500, 0.000)
Hg (0.500, 0.500, 0.500)

---

x | DFT (PBE) results for DyInHg6 after structural relaxation.

Output
**DOS at the Fermi energy**: 3.758 states/eV/cell
**Calculated volume**: 33.6 A^3/atom
**Space group**: R-3m (166)

a b c (Å): 8.574 8.574 8.574
angles (deg): 43.26 43.26 43.26
Atoms (fractional coordinates):
Dy (0.000, 0.000, 0.000)
In (0.500, 0.500, 0.500)
Hg (0.072, 0.072, 0.553)
Hg (0.072, 0.553, 0.072)
Hg (0.447, 0.928, 0.928)
Hg (0.553, 0.072, 0.072)
Hg (0.928, 0.447, 0.928)
Hg (0.928, 0.928, 0.447)

---

w has the most favorable energy; the next structure is 241 meV per atom above.

---

w | DFT (PBE) results for Dy2InHg6 after structural relaxation.

Output
**DOS at the Fermi energy**: 4.490 states/eV/cell
**Calculated volume**: 24.3 A^3/atom
**Space group**: C2/m (12)

a b c (Å): 5.166 5.166 9.474
angles (deg): 90.01 90.01 60.00
Atoms (fractional coordinates):
Dy (0.167, 0.167, 0.284)
Dy (0.833, 0.833, 0.716)
In (0.500, 0.500, 0.500)
Hg (0.167, 0.167, 0.616)
Hg (0.169, 0.169, 0.944)
Hg (0.500, 0.500, 0.164)
Hg (0.500, 0.500, 0.836)
Hg (0.831, 0.831, 0.056)
Hg (0.833, 0.833, 0.384)

---

x | DFT (PBE) results for Dy2InHg6 after structural relaxation.

Output
**DOS at the Fermi energy**: 5.589 states/eV/cell
**Calculated volume**: 24.9 A^3/atom
**Space group**: C2/m (12)

a b c (Å): 6.674 6.674 5.806
angles (deg): 90.21 90.21 60.08
Atoms (fractional coordinates):
Dy (0.167, 0.167, 0.315)
Dy (0.833, 0.833, 0.685)
In (0.500, 0.500, 0.500)
Hg (0.130, 0.685, 0.180)
Hg (0.315, 0.315, 0.818)
Hg (0.315, 0.870, 0.820)
Hg (0.685, 0.130, 0.180)
Hg (0.685, 0.685, 0.182)
Hg (0.870, 0.315, 0.820)

---

w has the most favorable energy; the next structure is 93 meV per atom above.

---

w | DFT (PBE) results for Dy3In4Hg2 after structural relaxation.

Output
**DOS at the Fermi energy**: 5.013 states/eV/cell
**Calculated volume**: 25.2 A^3/atom
**Space group**: C2/m (12)

a b c (Å): 6.129 6.129 9.294
angles (deg): 115.29 115.29 47.25
Atoms (fractional coordinates):
Dy (0.000, 0.000, 0.000)
Dy (0.331, 0.331, 0.338)
Dy (0.669, 0.669, 0.662)
In (0.035, 0.035, 0.368)
In (0.279, 0.279, 0.942)
In (0.721, 0.721, 0.058)
In (0.965, 0.965, 0.632)
Hg (0.368, 0.368, 0.699)
Hg (0.632, 0.632, 0.301)

---

x | DFT (PBE) results for Dy3In4Hg2 after structural relaxation.

Output
**DOS at the Fermi energy**: 3.820 states/eV/cell
**Calculated volume**: 25.6 A^3/atom
**Space group**: P-62m (189)

a b c (Å): 7.744 7.744 4.437
angles (deg): 90.00 90.00 120.00
Atoms (fractional coordinates):
Dy (0.000, 0.592, 0.000)
Dy (0.408, 0.408, 0.000)
Dy (0.592, 0.000, 0.000)
In (0.000, 0.000, 0.000)
In (0.000, 0.260, 0.500)
In (0.260, 0.000, 0.500)
In (0.740, 0.740, 0.500)
Hg (0.333, 0.667, 0.500)
Hg (0.667, 0.333, 0.500)

---

w has the most favorable energy; the next structure is 34 meV per atom above.